No. 1
{
  "formula": "Rb4P2Se9",
  "functional": "PBEsol",
  "state": "optimized geometry",
  "cell": [[4.813, -5.193, 0.000], [4.813, 5.193, 0.000], [-0.908, 0.000, 19.109]],
  "species": ["Rb", "Rb", "Rb", "Rb", "Rb", "Rb", "Rb", "Rb", "P", "P", "P", "P", "Se", "Se", "Se", "Se", "Se", "Se", "Se", "Se", "Se", "Se", "Se", "Se", "Se", "Se", "Se", "Se", "Se", "Se"],
  "frac_coords": [[0.065, 0.254, 0.820], [0.213, 0.723, 0.526], [0.254, 0.065, 0.320], [0.277, 0.787, 0.974], [0.723, 0.213, 0.026], [0.746, 0.935, 0.680], [0.787, 0.277, 0.474], [0.935, 0.746, 0.180], [0.228, 0.247, 0.618], [0.247, 0.228, 0.118], [0.753, 0.772, 0.882], [0.772, 0.753, 0.382], [0.004, 0.746, 0.821], [0.030, 0.618, 0.358], [0.227, 0.289, 0.007], [0.254, 0.996, 0.679], [0.289, 0.227, 0.507], [0.382, 0.970, 0.142], [0.392, 0.608, 0.750], [0.461, 0.491, 0.146], [0.491, 0.461, 0.646], [0.509, 0.539, 0.354], [0.539, 0.509, 0.854], [0.608, 0.392, 0.250], [0.618, 0.030, 0.858], [0.711, 0.773, 0.493], [0.746, 0.004, 0.321], [0.773, 0.711, 0.993], [0.970, 0.382, 0.642], [0.996, 0.254, 0.179]],
  "total_magnetization_mub_per_cell": 0.00,
  "e_form_raw_ev_per_atom": -0.64,
  "final_energy_ev_per_atom": -4.00,
  "vol_a3_per_atom": 31.844
}


No. 2
{
  "formula": "RbPSe6",
  "functional": "PBEsol",
  "state": "optimized geometry",
  "cell": [[11.870, 0.000, 0.000], [0.000, 6.752, 0.000], [0.000, 0.000, 11.208]],
  "species": ["Rb", "Rb", "Rb", "Rb", "P", "P", "P", "P", "Se", "Se", "Se", "Se", "Se", "Se", "Se", "Se", "Se", "Se", "Se", "Se", "Se", "Se", "Se", "Se", "Se", "Se", "Se", "Se", "Se", "Se", "Se", "Se"],
  "frac_coords": [[0.130, 0.184, 0.000], [0.370, 0.184, 0.500], [0.630, 0.816, 0.000], [0.870, 0.816, 0.500], [0.169, 0.772, 0.313], [0.331, 0.772, 0.813], [0.669, 0.228, 0.313], [0.831, 0.228, 0.813], [0.089, 0.673, 0.135], [0.100, 0.263, 0.688], [0.123, 0.080, 0.347], [0.129, 0.933, 0.605], [0.138, 0.561, 0.458], [0.143, 0.741, 0.786], [0.357, 0.741, 0.286], [0.362, 0.561, 0.958], [0.371, 0.933, 0.105], [0.377, 0.080, 0.847], [0.400, 0.263, 0.188], [0.411, 0.673, 0.635], [0.589, 0.327, 0.135], [0.600, 0.737, 0.688], [0.623, 0.920, 0.347], [0.629, 0.067, 0.605], [0.638, 0.439, 0.458], [0.643, 0.259, 0.786], [0.857, 0.259, 0.286], [0.862, 0.439, 0.958], [0.871, 0.067, 0.105], [0.877, 0.920, 0.847], [0.900, 0.737, 0.188], [0.911, 0.327, 0.635]],
  "total_magnetization_mub_per_cell": 0.00,
  "e_form_raw_ev_per_atom": -0.33,
  "final_energy_ev_per_atom": -4.07,
  "vol_a3_per_atom": 28.074
}


Question: Number 2 is which compound?
Answer: RbPSe6